Zn3Hg12Te5, relaxed, DFT PBE; energy = -0.0423 Ha/atom; V = 2419.1 Å³/cell; uncorrected formation energy = 5 meV per atom; crystal system = cubic
1.0
-8.4567 8.4567 8.4567
8.4567 -8.4567 8.4567
8.4567 8.4567 -8.4567
Zn Hg Te
12 48 20
direct
0.1250 0.2500 0.3750 Zn
0.1250 0.3750 0.7500 Zn
0.2500 0.3750 0.1250 Zn
0.2500 0.8750 0.6250 Zn
0.3750 0.1250 0.2500 Zn
0.3750 0.7500 0.1250 Zn
0.6250 0.2500 0.8750 Zn
0.6250 0.8750 0.7500 Zn
0.7500 0.1250 0.3750 Zn
0.7500 0.6250 0.8750 Zn
0.8750 0.6250 0.2500 Zn
0.8750 0.7500 0.6250 Zn
0.0544 0.6282 0.3803 Hg
0.0544 0.9262 0.6741 Hg
0.0738 0.2479 0.1282 Hg
0.0738 0.3259 0.9456 Hg
0.1197 0.7479 0.6741 Hg
0.1197 0.8718 0.4456 Hg
0.1282 0.0738 0.2479 Hg
0.1282 0.5544 0.8803 Hg
0.1741 0.2479 0.6197 Hg
0.1741 0.4262 0.5544 Hg
0.2479 0.1282 0.0738 Hg
0.2479 0.6197 0.1741 Hg
0.2521 0.3259 0.8803 Hg
0.2521 0.4262 0.3718 Hg
0.3259 0.8803 0.2521 Hg
0.3259 0.9456 0.0738 Hg
0.3718 0.2521 0.4262 Hg
0.3718 0.6197 0.9456 Hg
0.3803 0.0544 0.6282 Hg
0.3803 0.8259 0.7521 Hg
0.4262 0.3718 0.2521 Hg
0.4262 0.5544 0.1741 Hg
0.4456 0.1197 0.8718 Hg
0.4456 0.8259 0.5738 Hg
0.5544 0.1741 0.4262 Hg
0.5544 0.8803 0.1282 Hg
0.5738 0.4456 0.8259 Hg
0.5738 0.6282 0.7479 Hg
0.6197 0.1741 0.2479 Hg
0.6197 0.9456 0.3718 Hg
0.6282 0.3803 0.0544 Hg
0.6282 0.7479 0.5738 Hg
0.6741 0.0544 0.9262 Hg
0.6741 0.1197 0.7479 Hg
0.7479 0.5738 0.6282 Hg
0.7479 0.6741 0.1197 Hg
0.7521 0.3803 0.8259 Hg
0.7521 0.8718 0.9262 Hg
0.8259 0.5738 0.4456 Hg
0.8259 0.7521 0.3803 Hg
0.8718 0.4456 0.1197 Hg
0.8718 0.9262 0.7521 Hg
0.8803 0.1282 0.5544 Hg
0.8803 0.2521 0.3259 Hg
0.9262 0.6741 0.0544 Hg
0.9262 0.7521 0.8718 Hg
0.9456 0.0738 0.3259 Hg
0.9456 0.3718 0.6197 Hg
0.0000 0.0000 0.0000 Te
0.0000 0.0000 0.5000 Te
0.0000 0.5000 0.0000 Te
0.0000 0.5000 0.5000 Te
0.1250 0.7500 0.8750 Te
0.1250 0.8750 0.2500 Te
0.2500 0.1250 0.8750 Te
0.2500 0.6250 0.3750 Te
0.3750 0.2500 0.6250 Te
0.3750 0.6250 0.7500 Te
0.5000 0.0000 0.0000 Te
0.5000 0.0000 0.5000 Te
0.5000 0.5000 0.0000 Te
0.5000 0.5000 0.5000 Te
0.6250 0.3750 0.2500 Te
0.6250 0.7500 0.3750 Te
0.7500 0.3750 0.6250 Te
0.7500 0.8750 0.1250 Te
0.8750 0.1250 0.7500 Te
0.8750 0.2500 0.1250 Te

ZnHg2Te, relaxed, DFT PBE; energy = -0.0452 Ha/atom; V = 102.9 Å³/cell; distance to the lowest polymorph of the same formula = 0.416 eV/f.u.; uncorrected formation energy = 24 meV per atom; crystal system = orthorhombic
1.0
2.8858 -3.0905 0.0000
2.8858 3.0905 0.0000
0.0000 0.0000 5.7713
Zn Hg Te
1 2 1
direct
0.0000 0.0000 0.0000 Zn
0.2411 0.7589 0.5000 Hg
0.7589 0.2411 0.5000 Hg
0.5000 0.5000 0.0000 Te

Zn3HgTe, relaxed, DFT PBE; energy = -0.0402 Ha/atom; V = 131.4 Å³/cell; distance to the lowest polymorph of the same formula = 0.000 eV/f.u.; uncorrected formation energy = 359 meV per atom; crystal system = cubic
1.0
5.0845 0.0000 0.0000
0.0000 5.0845 0.0000
0.0000 0.0000 5.0845
Zn Hg Te
3 1 1
direct
0.0000 0.0000 0.5000 Zn
0.0000 0.5000 0.0000 Zn
0.5000 0.0000 0.0000 Zn
0.0000 0.0000 0.0000 Hg
0.5000 0.5000 0.5000 Te